Computed, not measured: a geometry-optimized AlZn4Ag7 structure at the PBE level of DFT. Values from VASP.

Results
- SG = C2/m, No. 12
- total magnetic moment (μB per cell) = 0.00
- final energy (eV per cell) = -27.7
- relative energy among the computed polymorphs (meV per atom) = 124.2
- DOS(E_F) (states/eV/f.u.) = 3.176
- formation energy from the elements (eV/atom) = 0.09

```
&SYSTEM
  ibrav = 0, nat = 12, ntyp = 3
/
ATOMIC_SPECIES
Zn 65.41 Zn.upf
Ag 107.87 Ag.upf
Al 26.98 Al.upf
CELL_PARAMETERS angstrom
-2.6403 3.3504 -2.2619
-1.5140 -2.4615 -7.0319
-6.4420 -2.1738 -0.8534
ATOMIC_POSITIONS crystal
Zn 0.6789 0.6385 0.0037
Ag 0.2326 0.7437 0.7911
Zn 0.3211 0.3615 0.9963
Zn 0.4464 0.7078 0.3994
Ag 0.5000 0.0000 0.0000
Zn 0.5536 0.2922 0.6006
Ag 0.0779 0.5747 0.2696
Ag 0.9221 0.4253 0.7304
Ag 0.8083 0.8663 0.5172
Al 0.0000 0.0000 0.0000
Ag 0.1917 0.1337 0.4828
Ag 0.7674 0.2563 0.2089
```

Computed, not measured: a geometry-optimized LiTiBi2 structure at the PBE level of DFT. Values from VASP.

Results
- SG = Fm-3m, No. 225
- total magnetic moment (μB per cell) = 0.30
- final energy (eV per cell) = -17.8
- relative energy among the computed polymorphs (meV per atom) = 109.1
- DOS(E_F) (states/eV/f.u.) = 4.020
- formation energy from the elements (eV/atom) = -0.06

```
&SYSTEM
  ibrav = 0, nat = 4, ntyp = 3
/
ATOMIC_SPECIES
Bi 208.98 Bi.upf
Ti 47.87 Ti.upf
Li 6.94 Li.upf
CELL_PARAMETERS angstrom
0.0000 3.6008 3.6008
3.6008 0.0000 3.6008
3.6008 3.6008 0.0000
ATOMIC_POSITIONS crystal
Bi 0.7500 0.7500 0.7500
Ti 0.5000 0.5000 0.5000
Li 0.0000 0.0000 0.0000
Bi 0.2500 0.2500 0.2500
```

The records above yield calculated volume values of 210.7 93.4 Å³/f.u., respectively.